P | VASP calculation (PBE) on crystalline Pr4Ag2Hg at its relaxed geometry.

Computed properties:
ρ, g/cm3: 7.6
Magnetization, Bohr magnetons per cell: 1.45

Cell: 6.5330 6.5330 6.5330 Å, 109.08 109.08 110.26°
With the nearest neighbours (Å) after each atom.
Fractional positions:
Pr 0.0000 0.0000 0.5000  2 Hg 3.27, 4 Ag 3.27
Pr 0.0000 0.5000 0.0000  2 Hg 3.27, 4 Ag 3.27
Pr 0.5000 0.0000 0.0000  2 Hg 3.27, 4 Ag 3.27
Pr 0.5000 0.5000 0.5000  2 Hg 3.27, 4 Ag 3.27
Ag 0.0000 0.5000 0.5000  8 Pr 3.27
Ag 0.5000 0.0000 0.5000  8 Pr 3.27
Hg 0.0000 0.0000 0.0000  8 Pr 3.27



Q | VASP calculation (PBE) on crystalline Pr4Ag2Hg at its relaxed geometry.

Computed properties:
ρ, g/cm3: 7.7
Magnetization, Bohr magnetons per cell: 0.00

Cell: 8.1775 8.1775 8.1775 Å, 108.76 108.76 110.90°
With the nearest neighbours (Å) after each atom.
Fractional positions:
Pr 0.1206 0.5156 0.7453  4 Ag 3.10-3.41, 2 Hg 3.21-3.35
Pr 0.1253 0.0203 0.7547  4 Ag 3.10-3.41, 2 Hg 3.21-3.35
Pr 0.2656 0.3706 0.2453  4 Ag 3.10-3.41, 2 Hg 3.21-3.35
Pr 0.4844 0.2297 0.6050  4 Ag 3.10-3.41, 2 Hg 3.21-3.35
Pr 0.6247 0.8794 0.3950  4 Ag 3.10-3.41, 2 Hg 3.21-3.35
Pr 0.6294 0.8747 0.8950  4 Ag 3.10-3.41, 2 Hg 3.21-3.35
Pr 0.7703 0.3753 0.2547  4 Ag 3.10-3.41, 2 Hg 3.21-3.35
Pr 0.9797 0.7344 0.1050  4 Ag 3.10-3.41, 2 Hg 3.21-3.35
Ag 0.0019 0.1250 0.3769  8 Pr 3.10-3.41
Ag 0.3750 0.9981 0.1231  8 Pr 3.10-3.41
Ag 0.7481 0.6250 0.6231  8 Pr 3.10-3.41
Ag 0.8750 0.2519 0.8769  8 Pr 3.10-3.41
Hg 0.2500 0.7500 0.5000  8 Pr 3.21-3.35
Hg 0.5000 0.5000 0.0000  8 Pr 3.21-3.35



Which of them is the most stable, and which is the least stable? P and Q, in that order.



P | VASP calculation (PBE) on crystalline TbPrAgHg at its relaxed geometry.

Computed properties:
ρ, g/cm3: 9.5
Magnetization, Bohr magnetons per cell: 0.25

Cell: 3.7380 3.7380 7.5989 Å, 90.00 90.00 90.00°
With the nearest neighbours (Å) after each atom.
Fractional positions:
Tb 0.0000 0.0000 0.0000  4 Ag 3.14, 4 Hg 3.21
Pr 0.0000 0.0000 0.5111  4 Ag 3.33, 4 Hg 3.35, 1 Tb 3.72
Ag 0.5000 0.5000 0.7779  4 Tb 3.14, 4 Pr 3.33, 1 Hg 3.51
Hg 0.5000 0.5000 0.2398  4 Tb 3.21, 4 Pr 3.35, 1 Ag 3.51



Q | VASP calculation (PBE) on crystalline TbPrAgHg at its relaxed geometry.

Computed properties:
ρ, g/cm3: 9.5
Magnetization, Bohr magnetons per cell: 0.00

Cell: 5.3187 5.3187 5.3187 Å, 60.00 60.00 60.00°
With the nearest neighbours (Å) after each atom.
Fractional positions:
Tb 0.0000 0.0000 0.0000  4 Hg 3.26, 4 Ag 3.26
Pr 0.5000 0.5000 0.5000  4 Hg 3.26, 4 Ag 3.26
Ag 0.2500 0.2500 0.2500  4 Tb 3.26, 4 Pr 3.26
Hg 0.7500 0.7500 0.7500  4 Tb 3.26, 4 Pr 3.26



Which of them is the most stable, and which is the least stable? P and Q, in that order.



P | VASP calculation (PBE) on crystalline PrTlAgHg at its relaxed geometry.

Computed properties:
ρ, g/cm3: 10.8
Magnetization, Bohr magnetons per cell: 0.00

Cell: 5.2231 5.2231 5.2231 Å, 60.00 60.00 60.00°
With the nearest neighbours (Å) after each atom.
Fractional positions:
Pr 0.0000 0.0000 0.0000  4 Hg 3.20, 4 Ag 3.20
Tl 0.5000 0.5000 0.5000  4 Ag 3.20, 4 Hg 3.20
Ag 0.7500 0.7500 0.7500  4 Tl 3.20, 4 Pr 3.20
Hg 0.2500 0.2500 0.2500  4 Tl 3.20, 4 Pr 3.20



Q | VASP calculation (PBE) on crystalline PrTlAgHg at its relaxed geometry.

Computed properties:
ρ, g/cm3: 10.9
Magnetization, Bohr magnetons per cell: 0.00

Cell: 5.2029 5.2029 5.2029 Å, 60.00 60.00 60.00°
With the nearest neighbours (Å) after each atom.
Fractional positions:
Pr 0.0000 0.0000 0.0000  4 Hg 3.19, 4 Tl 3.19
Tl 0.2500 0.2500 0.2500  4 Pr 3.19, 4 Ag 3.19
Ag 0.5000 0.5000 0.5000  4 Hg 3.19, 4 Tl 3.19
Hg 0.7500 0.7500 0.7500  4 Ag 3.19, 4 Pr 3.19



Which of them is the most stable, and which is the least stable? P and Q, in that order.



P | VASP calculation (PBE) on crystalline Ag4HgPt at its relaxed geometry.

Computed properties:
ρ, g/cm3: 12.1
Magnetization, Bohr magnetons per cell: 0.00

Cell: 5.4317 5.4317 5.4317 Å, 60.00 60.00 60.00°
With the nearest neighbours (Å) after each atom.
Fractional positions:
Ag 0.1253 0.1253 0.1253  6 Ag 2.71-2.72
Ag 0.1253 0.1253 0.6242  6 Ag 2.71-2.72
Ag 0.1253 0.6242 0.1253  6 Ag 2.71-2.72
Ag 0.6242 0.1253 0.1253  6 Ag 2.71-2.72
Hg 0.7500 0.7500 0.7500  12 Ag 3.19, 4 Pt 3.33
Pt 0.5000 0.5000 0.5000  12 Ag 3.18, 4 Hg 3.33



Q | VASP calculation (PBE) on crystalline Ag4HgPt at its relaxed geometry.

Computed properties:
ρ, g/cm3: 12.2
Magnetization, Bohr magnetons per cell: 0.00

Cell: 4.8514 4.8514 5.6420 Å, 103.11 103.11 112.29°
With the nearest neighbours (Å) after each atom.
Fractional positions:
Ag 0.1635 0.8030 0.7410  6 Ag 2.80-3.07, 2 Pt 2.81-2.93, 2 Hg 2.95
Ag 0.1970 0.8365 0.2590  6 Ag 2.80-3.07, 2 Pt 2.81-2.93, 2 Hg 2.95
Ag 0.8030 0.1635 0.7410  6 Ag 2.80-3.07, 2 Pt 2.81-2.93, 2 Hg 2.95
Ag 0.8365 0.1970 0.2590  6 Ag 2.80-3.07, 2 Pt 2.81-2.93, 2 Hg 2.95
Hg 0.5000 0.5000 0.0000  2 Pt 2.82, 8 Ag 2.95
Pt 0.5000 0.5000 0.5000  8 Ag 2.81-2.93, 2 Hg 2.82



Which of them is the most stable, and which is the least stable? Q and P, in that order.



P | VASP calculation (PBE) on crystalline AgHgPt3 at its relaxed geometry.

Computed properties:
ρ, g/cm3: 11.7
Magnetization, Bohr magnetons per cell: 0.00

Cell: 5.0232 5.0232 5.0232 Å, 90.00 90.00 90.00°
With the nearest neighbours (Å) after each atom.
Fractional positions:
Ag 0.0000 0.0000 0.0000  12 Pt 3.55
Hg 0.5000 0.5000 0.5000  6 Pt 2.51
Pt 0.0000 0.5000 0.5000  2 Hg 2.51
Pt 0.5000 0.0000 0.5000  2 Hg 2.51
Pt 0.5000 0.5000 0.0000  2 Hg 2.51



Q | VASP calculation (PBE) on crystalline AgHgPt3 at its relaxed geometry.

Computed properties:
ρ, g/cm3: 12.6
Magnetization, Bohr magnetons per cell: 0.00

Cell: 4.9079 4.9079 4.9079 Å, 90.00 90.00 90.00°
With the nearest neighbours (Å) after each atom.
Fractional positions:
Ag 0.0000 0.0000 0.0000  6 Pt 2.45
Hg 0.5000 0.5000 0.5000  12 Pt 3.47
Pt 0.0000 0.0000 0.5000  2 Ag 2.45
Pt 0.0000 0.5000 0.0000  2 Ag 2.45
Pt 0.5000 0.0000 0.0000  2 Ag 2.45



Which of them is the most stable, and which is the least stable? Q and P, in that order.



P | VASP calculation (PBE) on crystalline PuAgHg4 at its relaxed geometry.

Computed properties:
ρ, g/cm3: 13.7
Magnetization, Bohr magnetons per cell: 6.22

Cell: 4.4499 3.1504 9.9858 Å, 90.00 90.06 90.00°
With the nearest neighbours (Å) after each atom.
Fractional positions:
Pu 0.0000 0.0000 0.0000  2 Pu 3.15, 10 Hg 3.27-3.47
Ag 0.5000 0.5000 0.5000  10 Hg 3.12-3.18, 2 Ag 3.15
Hg 0.0002 0.0000 0.3479  7 Hg 3.04-3.20, 4 Ag 3.12
Hg 0.9998 0.0000 0.6521  7 Hg 3.04-3.20, 4 Ag 3.12
Hg 0.5002 0.5000 0.1811  6 Hg 3.15-3.20, 1 Ag 3.18, 4 Pu 3.27
Hg 0.4998 0.5000 0.8189  6 Hg 3.15-3.20, 1 Ag 3.18, 4 Pu 3.27



Q | VASP calculation (PBE) on crystalline PuAgHg4 at its relaxed geometry.

Computed properties:
ρ, g/cm3: 13.5
Magnetization, Bohr magnetons per cell: 6.21

Cell: 3.5026 3.5026 11.5496 Å, 90.00 90.00 90.00°
With the nearest neighbours (Å) after each atom.
Fractional positions:
Pu 0.0000 0.0000 0.0000  8 Hg 3.26, 4 Pu 3.50
Ag 0.5000 0.5000 0.5000  8 Hg 3.00
Hg 0.0000 0.0000 0.3530  4 Ag 3.00, 4 Hg 3.15
Hg 0.0000 0.0000 0.6470  4 Ag 3.00, 4 Hg 3.15
Hg 0.5000 0.5000 0.1841  8 Hg 3.15-3.50, 4 Pu 3.26
Hg 0.5000 0.5000 0.8159  8 Hg 3.15-3.50, 4 Pu 3.26



Which of them is the most stable, and which is the least stable? P and Q, in that order.